DFT (GGA-PBE) results for an optimized crystal structure of Tb4PrEr15.

Cell lengths 4.989, 4.989, 24.909 Å; angles 90.00, 90.00, 90.00 degrees
Space group P4/mmm (No. 123)
One atom of each set of equivalent atoms:
Tb  0.000  0.000  0.100 (multiplicity 2)
Tb  0.000  0.000  0.299 (multiplicity 2)
Pr  0.000  0.000  0.500 (multiplicity 1)
Er  0.000  0.500  0.000 (multiplicity 2)
Er  0.000  0.500  0.199 (multiplicity 4)
Er  0.000  0.500  0.398 (multiplicity 4)
Er  0.500  0.500  0.100 (multiplicity 2)
Er  0.500  0.500  0.299 (multiplicity 2)
Er  0.500  0.500  0.500 (multiplicity 1)

Values from the calculation:
As for the density of states at the Fermi level: 26.37 states/eV/cell. Its energy is -4.56 eV per atom. As for the energy relative to the elements: 0.4 eV/f.u. The size of the total moment is 0.0 Bohr magnetons per cell.